No. 1
Material: YZn2Cu2
Method: DFT, SCAN
State: single point on PBEsol structure

Summary:
- crystal system = tetragonal
- calculated formation energy (eV/atom) = -0.28
- SG = No. 139

abc: 5.890 5.890 5.890
angles: 140.64 140.64 56.88
Element x y z (fractional)
Y  0.000  0.000  0.000
Zn  0.383  0.383  0.000
Zn  0.617  0.617  0.000
Cu  0.250  0.750  0.500
Cu  0.750  0.250  0.500

No. 2
Material: Li4SiMo
Method: DFT, SCAN
State: single point on PBEsol structure

Summary:
- crystal system = cubic
- SG = No. 216

abc: 4.722 4.722 4.722
angles: 60.00 60.00 60.00
Element x y z (fractional)
Li  0.124  0.124  0.124
Li  0.124  0.124  0.628
Li  0.124  0.628  0.124
Li  0.628  0.124  0.124
Si  0.750  0.750  0.750
Mo  0.500  0.500  0.500

No. 3
Material: YAg4
Method: DFT, SCAN
State: single point on PBEsol structure

Summary:
- crystal system = tetragonal
- calculated formation energy (eV/atom) = -0.18
- SG = No. 139

abc: 7.971 7.971 7.971
angles: 154.30 154.30 36.66
Element x y z (fractional)
Y  0.000  0.000  0.000
Ag  0.203  0.203  0.000
Ag  0.389  0.389  0.000
Ag  0.611  0.611  0.000
Ag  0.797  0.797  0.000

no.,magnetic moment (Bohr magnetons per cell),uncorrected energy (eV per atom)
1,0.00,-17.34
2,0.00,-8.64
3,0.00,-30.84